28
Lattice="-5.645 -0.665 1.280 -1.736 -2.828 -9.446 -2.339 -5.399 0.324" Properties=species:S:1:pos:R:3 comment="GGA+U Li3Fe3O8, relaxed" final_energy_ev_per_atom=-5.7001 pbc="T T T"
Li -3.689 -1.751 -4.082
Li -3.598 -6.637 -6.138
Li -7.381 -3.498 -8.165
Li -4.204 -3.387 -7.029
Li -5.516 -5.513 -0.809
Li -6.120 -2.265 -1.701
Fe -5.728 -5.864 -8.642
Fe -6.740 -5.337 -5.939
Fe -7.681 -4.783 -3.279
Fe -4.859 -4.451 -3.919
Fe -8.550 -6.197 -8.002
Fe -2.979 -3.564 -1.899
O -5.771 -4.498 -7.329
O -5.699 -2.442 0.218
O -2.056 -2.709 -3.267
O -4.021 -6.459 -8.056
O -7.662 -6.192 -4.571
O -5.093 -5.886 -5.102
O -2.792 -2.069 -0.644
O -6.928 -6.832 -7.195
O -4.625 -3.014 -2.738
O -2.709 -4.089 -8.093
O -6.004 -5.372 -2.685
O -3.948 -4.403 -0.510
O -3.124 -5.030 -3.186
O -6.594 -3.871 -4.653
O -3.714 -3.529 -5.154
O -7.011 -4.812 0.254